## LaYTeO5 (PBE-GGA)

Data for LaYTeO5 after structural relaxation.

Calculated values
The crystal system is monoclinic. The value obtained for the uncorrected formation energy is -2506 meV/atom. For the density of states at the Fermi level, the calculation gives 0.0 states/eV/cell.

a b c (Å): 6.1884 6.1884 8.0071
angles (deg): 106.48 106.48 98.72
Element x y z (fractional)
1 La 0.0543 0.9457 0.7500
2 La 0.9457 0.0543 0.2500
3 Y 0.0000 0.5000 0.0000
4 Y 0.5000 0.0000 0.5000
5 Te 0.4611 0.5389 0.7500
6 Te 0.5389 0.4611 0.2500
7 O 0.1811 0.8189 0.2500
8 O 0.1981 0.2273 0.0772
9 O 0.2273 0.1981 0.5772
10 O 0.2800 0.6444 0.8978
11 O 0.3556 0.7200 0.6022
12 O 0.6444 0.2800 0.3978
13 O 0.7200 0.3556 0.1022
14 O 0.7727 0.8019 0.4228
15 O 0.8019 0.7727 0.9228
16 O 0.8189 0.1811 0.7500